# Ca2Ac6Pr

An optimized crystal structure of Ca2Ac6Pr (PBE, the Alexandria database).

abc: 3.9299 3.9299 29.4646
angles: 90.00 90.00 120.00
Atoms (fractional coordinates):
Ca1 0.0000 0.0000 0.1721
Ca2 0.0000 0.0000 0.8279
Ac1 0.0000 0.0000 0.3943
Ac2 0.0000 0.0000 0.6057
Ac3 0.6667 0.3333 0.0633
Ac4 0.6667 0.3333 0.2838
Ac5 0.6667 0.3333 0.7162
Ac6 0.6667 0.3333 0.9367
Pr1 0.6667 0.3333 0.5000

Calculated values
**Space group**: No. 187
**E_tot**: -3.6428 eV/atom

=====

# CaAc5Pr

An optimized crystal structure of CaAc5Pr (PBE, the Alexandria database).

abc: 5.9110 5.9110 9.2025
angles: 90.00 90.00 90.00
Atoms (fractional coordinates):
Ca1 0.0000 0.0000 0.0000
Ac1 0.0000 0.5000 0.2837
Ac2 0.0000 0.5000 0.7163
Ac3 0.5000 0.0000 0.2837
Ac4 0.5000 0.0000 0.7163
Ac5 0.5000 0.5000 0.0000
Pr1 0.0000 0.0000 0.5000

Calculated values
**Space group**: No. 123
**E_tot**: -3.6682 eV/atom

=====

# CaAcPr

An optimized crystal structure of CaAcPr (PBE, the Alexandria database).

abc: 8.5070 8.5070 8.5070
angles: 153.42 153.42 37.94
Atoms (fractional coordinates):
Ca1 0.0000 0.0000 0.0000
Ac1 0.3209 0.3209 0.0000
Pr1 0.6653 0.6653 0.0000

Calculated values
**Space group**: No. 107
**E_tot**: -3.6085 eV/atom

=====

# Ca4Ac3Pr

An optimized crystal structure of Ca4Ac3Pr (PBE, the Alexandria database).

abc: 5.5554 11.1127 11.0319
angles: 90.00 90.00 90.00
Atoms (fractional coordinates):
Ca1 0.2500 0.0028 0.1250
Ca2 0.2500 0.2500 0.8775
Ca3 0.2500 0.4972 0.1250
Ca4 0.2500 0.7500 0.8726
Ca5 0.7500 0.2500 0.1274
Ca6 0.7500 0.5028 0.8750
Ca7 0.7500 0.7500 0.1225
Ca8 0.7500 0.9972 0.8750
Ac1 0.2500 0.5016 0.6194
Ac2 0.2500 0.7500 0.3805
Ac3 0.2500 0.9984 0.6194
Ac4 0.7500 0.0016 0.3806
Ac5 0.7500 0.2500 0.6195
Ac6 0.7500 0.4984 0.3806
Pr1 0.2500 0.2500 0.3842
Pr2 0.7500 0.7500 0.6158

Calculated values
**Space group**: No. 59
**E_tot**: -3.1209 eV/atom

=====

# CaAc2Pr

An optimized crystal structure of CaAc2Pr (PBE, the Alexandria database).

abc: 13.8213 13.8213 13.8213
angles: 15.78 15.78 15.78
Atoms (fractional coordinates):
Ca1 0.0000 0.0000 0.0000
Ac1 0.4137 0.4137 0.4137
Ac2 0.5863 0.5863 0.5863
Pr1 0.5000 0.5000 0.5000

Calculated values
**Space group**: No. 166
**E_tot**: -3.5270 eV/atom

=====

# CaAcPrRh

An optimized crystal structure of CaAcPrRh (PBE, the Alexandria database).

abc: 4.2029 4.2029 10.0644
angles: 102.02 102.02 60.06
Atoms (fractional coordinates):
Ca1 0.0000 0.0000 0.0000
Ac1 0.7796 0.7796 0.3435
Pr1 0.5553 0.5553 0.6708
Rh1 0.1686 0.1686 0.5106

Calculated values
**Space group**: No. 8
**E_tot**: -4.9090 eV/atom

=====

# CaAcPrRu

An optimized crystal structure of CaAcPrRu (PBE, the Alexandria database).

abc: 4.1985 4.1985 9.9264
angles: 102.22 102.22 59.97
Atoms (fractional coordinates):
Ca1 0.0000 0.0000 0.0000
Ac1 0.2165 0.2165 0.6531
Pr1 0.4423 0.4423 0.3309
Ru1 0.8283 0.8283 0.4889

Calculated values
**Space group**: No. 8
**E_tot**: -5.1039 eV/atom

=====

# CaAc2PrS4

An optimized crystal structure of CaAc2PrS4 (PBE, the Alexandria database).

abc: 7.2638 4.1693 7.2875
angles: 90.00 109.15 90.00
Atoms (fractional coordinates):
Ca1 0.0000 0.0000 0.0000
Ac1 0.5000 0.0000 0.5000
Ac2 0.5000 0.5000 0.0000
Pr1 0.0000 0.5000 0.5000
S1 0.2317 0.5000 0.2391
S2 0.2343 0.0000 0.7507
S3 0.7657 0.0000 0.2493
S4 0.7683 0.5000 0.7609

Calculated values
**Space group**: No. 10
**ΔE_f (raw)**: -2.018 eV per atom

=====

# CaAcPr2S4

An optimized crystal structure of CaAcPr2S4 (PBE, the Alexandria database).

abc: 8.2936 8.2936 8.2936
angles: 120.24 119.68 90.07
Atoms (fractional coordinates):
Ca1 0.5000 0.0000 0.0000
Ca2 0.5000 0.5000 0.5000
Ac1 0.0000 0.0000 0.0000
Ac2 0.5000 0.0000 0.5000
Pr1 0.0000 0.0000 0.5000
Pr2 0.0000 0.5000 0.0000
Pr3 0.0000 0.5000 0.5000
Pr4 0.5000 0.5000 0.0000
S1 0.2532 0.7463 0.5069
S2 0.2543 0.2619 0.5077
S3 0.2543 0.7466 0.9923
S4 0.2606 0.2537 0.0069
S5 0.7394 0.7463 0.9931
S6 0.7457 0.2534 0.0077
S7 0.7457 0.7381 0.4923
S8 0.7468 0.2537 0.4931

Calculated values
**Space group**: No. 74
**ΔE_f (raw)**: -2.017 eV per atom

=====

# CaAc2PrSb4

An optimized crystal structure of CaAc2PrSb4 (PBE, the Alexandria database).

abc: 8.0366 4.7110 8.1557
angles: 90.00 109.83 90.00
Atoms (fractional coordinates):
Ca1 0.0000 0.0000 0.0000
Ac1 0.5000 0.0000 0.5000
Ac2 0.5000 0.5000 0.0000
Pr1 0.0000 0.5000 0.5000
Sb1 0.2368 0.0000 0.7447
Sb2 0.2370 0.5000 0.2465
Sb3 0.7632 0.0000 0.2553
Sb4 0.7630 0.5000 0.7535

Calculated values
**Space group**: No. 10
**ΔE_f (raw)**: -1.069 eV per atom

=====

# CaAcPr2Sb4

An optimized crystal structure of CaAcPr2Sb4 (PBE, the Alexandria database).

abc: 7.9492 4.6222 8.0842
angles: 90.00 109.34 90.00
Atoms (fractional coordinates):
Ca1 0.0000 0.0000 0.0000
Ac1 0.5000 0.5000 0.0000
Pr1 0.0000 0.5000 0.5000
Pr2 0.5000 0.0000 0.5000
Sb1 0.2418 0.0000 0.7400
Sb2 0.2476 0.5000 0.2565
Sb3 0.7524 0.5000 0.7435
Sb4 0.7582 0.0000 0.2600

Calculated values
**Space group**: No. 10
**ΔE_f (raw)**: -1.065 eV per atom

=====

# CaAcPrSc

An optimized crystal structure of CaAcPrSc (PBE, the Alexandria database).

abc: 5.8666 5.8666 5.8666
angles: 60.00 60.00 60.00
Atoms (fractional coordinates):
Ca1 0.0000 0.0000 0.0000
Ac1 0.7500 0.7500 0.7500
Pr1 0.2500 0.2500 0.2500
Sc1 0.5000 0.5000 0.5000

Calculated values
**Space group**: No. 216
**E_tot**: -4.1827 eV/atom